# Ca2TaGaCu (SCAN, PBEsol geometry)
data_Ca2TaGaCu
_chemical_formula_sum 'Ca2 Ta1 Ga1 Cu1'
_symmetry_space_group_name_H-M 'P 4/m m m'
_symmetry_Int_Tables_number 123
_symmetry_space_group_name_Hall '-P 4 2'
_cell_length_a 5.581
_cell_length_b 5.581
_cell_length_c 4.615
_cell_angle_alpha 90.00
_cell_angle_beta 90.00
_cell_angle_gamma 90.00
loop_
_atom_site_label
_atom_site_fract_x
_atom_site_fract_y
_atom_site_fract_z
Ca1 0.000 0.500 0.000
Ta1 0.000 0.000 0.000
Ga1 0.500 0.500 0.500
Cu1 0.000 0.000 0.500
# - Formation energy from the elements: 1.1206 eV/atom
# - V: 28.75 Å³/atom

# CaCuGe (SCAN, PBEsol geometry)
data_CaCuGe
_chemical_formula_sum 'Ca4 Cu4 Ge4'
_symmetry_space_group_name_H-M 'P n m a'
_symmetry_Int_Tables_number 62
_cell_length_a 7.028
_cell_length_b 4.278
_cell_length_c 7.342
_cell_angle_alpha 90.00
_cell_angle_beta 90.00
_cell_angle_gamma 90.00
loop_
_symmetry_equiv_pos_as_xyz
'x,y,z'
'-x,-y,-z'
'-x+1/2,-y,z+1/2'
'x+1/2,y,-z+1/2'
'x+1/2,-y+1/2,-z+1/2'
'-x+1/2,y+1/2,z+1/2'
'-x,y+1/2,-z'
'x,-y+1/2,z'
loop_
_atom_site_label
_atom_site_fract_x
_atom_site_fract_y
_atom_site_fract_z
Ca1 0.004 0.250 0.200
Cu1 0.183 0.750 0.420
Ge1 0.193 0.250 0.591
# - Formation energy from the elements: -0.5123 eV/atom
# - V: 18.39 Å³/atom

# CaCuGe (SCAN, PBEsol geometry)
data_CaCuGe
_chemical_formula_sum 'Ca12 Cu12 Ge12'
_symmetry_space_group_name_H-M 'P n m a'
_symmetry_Int_Tables_number 62
_cell_length_a 20.952
_cell_length_b 4.303
_cell_length_c 7.359
_cell_angle_alpha 90.00
_cell_angle_beta 90.00
_cell_angle_gamma 90.00
loop_
_symmetry_equiv_pos_as_xyz
'x,y,z'
'-x,-y,-z'
'-x+1/2,-y,z+1/2'
'x+1/2,y,-z+1/2'
'x+1/2,-y+1/2,-z+1/2'
'-x+1/2,y+1/2,z+1/2'
'-x,y+1/2,-z'
'x,-y+1/2,z'
loop_
_atom_site_label
_atom_site_fract_x
_atom_site_fract_y
_atom_site_fract_z
Ca1 0.002 0.250 0.211
Ca2 0.166 0.250 0.294
Ca3 0.167 0.750 0.704
Cu1 0.062 0.750 0.419
Cu2 0.099 0.250 0.915
Cu3 0.234 0.250 0.912
Ge1 0.068 0.250 0.591
Ge2 0.102 0.750 0.086
Ge3 0.230 0.750 0.082
# - Formation energy from the elements: -0.5190 eV/atom
# - V: 18.43 Å³/atom

# CaCu3Ge4O12 (SCAN, PBEsol geometry)
data_CaCu3Ge4O12
_chemical_formula_sum 'Ca2 Cu6 Ge8 O24'
_symmetry_space_group_name_H-M 'I m -3'
_symmetry_Int_Tables_number 204
_symmetry_space_group_name_Hall '-I 2 2 3'
_cell_length_a 7.230
_cell_length_b 7.230
_cell_length_c 7.230
_cell_angle_alpha 90.00
_cell_angle_beta 90.00
_cell_angle_gamma 90.00
loop_
_atom_site_label
_atom_site_fract_x
_atom_site_fract_y
_atom_site_fract_z
Ca1 0.000 0.000 0.000
Cu1 0.000 0.000 0.500
Ge1 0.250 0.250 0.250
O1 0.000 0.183 0.301
# - E_form (uncorrected): -1.6605 eV per atom
# - V: 9.45 Å³/atom